# TiFeBi (PBE, relaxed)
data_TiFeBi
_space_group_name_H-M_alt 'I 4/m m m'
_space_group_IT_number 139
_space_group_name_Hall '-I 4 2'
_cell_length_a 3.298
_cell_length_b 3.298
_cell_length_c 23.080
_cell_angle_alpha 90.00
_cell_angle_beta 90.00
_cell_angle_gamma 90.00
loop_
_atom_site_label
_atom_site_fract_x
_atom_site_fract_y
_atom_site_fract_z
_atom_site_occupancy
Ti1 0.000 0.000 0.173 1
Fe1 0.000 0.000 0.278 1
Bi1 0.000 0.000 0.415 1
# ΔE_f   -0.106 eV per atom
# Fermi-level density of states   1.87 states/eV/f.u.
# Total energy   -82.2 eV for the cell shown

---

# BaTbEr4S8 (PBE, relaxed)
data_BaTbEr4S8
_space_group_name_H-M_alt 'R 3 m'
_space_group_IT_number 160
_space_group_name_Hall 'R 3 -2"'
_cell_length_a 8.1765
_cell_length_b 8.1765
_cell_length_c 20.1628
_cell_angle_alpha 90.00
_cell_angle_beta 90.00
_cell_angle_gamma 120.00
loop_
_atom_site_label
_atom_site_fract_x
_atom_site_fract_y
_atom_site_fract_z
_atom_site_occupancy
Ba1 0.0000 0.0000 0.0000 1
Tb1 0.0000 0.0000 0.6280 1
Er1 0.0000 0.0000 0.2512 1
Er2 0.1690 0.3380 0.4588 1
S1 0.0000 0.0000 0.3832 1
S2 0.0000 0.0000 0.8572 1
S3 0.0470 0.5235 0.3835 1
S4 0.1751 0.3501 0.2061 1
# Fermi-level density of states   3.78 states/eV/f.u.
# Uncorrected formation energy   -1958 meV per atom
# Total energy   -255.7 eV for the cell shown

---

# GaHg2Ge (PBE, relaxed)
data_GaHg2Ge
_space_group_name_H-M_alt 'P 4/m m m'
_space_group_IT_number 123
_space_group_name_Hall '-P 4 2'
_cell_length_a 4.496
_cell_length_b 4.496
_cell_length_c 4.363
_cell_angle_alpha 90.00
_cell_angle_beta 90.00
_cell_angle_gamma 90.00
loop_
_atom_site_label
_atom_site_fract_x
_atom_site_fract_y
_atom_site_fract_z
_atom_site_occupancy
Ga1 0.000 0.000 0.000 1
Hg1 0.000 0.500 0.500 1
Ge1 0.500 0.500 0.000 1
# ΔE_f   0.217 eV per atom
# Fermi-level density of states   2.51 states/eV/f.u.
# Total energy   -7.4 eV for the cell shown

---

# YCd3Ni (PBE, relaxed)
data_YCd3Ni
_space_group_name_H-M_alt 'P m -3 m'
_space_group_IT_number 221
_space_group_name_Hall '-P 4 2 3'
_cell_length_a 4.901
_cell_length_b 4.901
_cell_length_c 4.901
_cell_angle_alpha 90.00
_cell_angle_beta 90.00
_cell_angle_gamma 90.00
loop_
_atom_site_label
_atom_site_fract_x
_atom_site_fract_y
_atom_site_fract_z
_atom_site_occupancy
Y1 0.000 0.000 0.000 1
Cd1 0.000 0.500 0.500 1
Ni1 0.500 0.500 0.500 1
# ΔE_f   0.015 eV per atom
# Fermi-level density of states   4.69 states/eV/f.u.
# Total energy   -14.9 eV for the cell shown
# Distance to the lowest polymorph of the same formula   0.2600 eV/atom

---

# Ba2BePt (PBE, relaxed)
data_Ba2BePt
_space_group_name_H-M_alt 'I -4 2 d'
_space_group_IT_number 122
_space_group_name_Hall 'I -4 2bw'
_cell_length_a 8.505
_cell_length_b 8.505
_cell_length_c 7.778
_cell_angle_alpha 90.00
_cell_angle_beta 90.00
_cell_angle_gamma 90.00
loop_
_atom_site_label
_atom_site_fract_x
_atom_site_fract_y
_atom_site_fract_z
_atom_site_occupancy
Ba1 0.230 0.250 0.125 1
Be1 0.000 0.000 0.500 1
Pt1 0.000 0.000 0.000 1
# ΔE_f   0.267 eV per atom
# Fermi-level density of states   4.04 states/eV/f.u.
# Total energy   -50.2 eV for the cell shown

---

# IrRuOF2 (PBE, relaxed)
data_IrRuOF2
_space_group_name_H-M_alt 'P 4/m m m'
_space_group_IT_number 123
_space_group_name_Hall '-P 4 2'
_cell_length_a 4.369
_cell_length_b 4.369
_cell_length_c 3.653
_cell_angle_alpha 90.00
_cell_angle_beta 90.00
_cell_angle_gamma 90.00
loop_
_atom_site_label
_atom_site_fract_x
_atom_site_fract_y
_atom_site_fract_z
_atom_site_occupancy
Ir1 0.000 0.000 0.000 1
Ru1 0.500 0.500 0.500 1
O1 0.500 0.500 0.000 1
F1 0.000 0.500 0.500 1
# Fermi-level density of states   5.46 states/eV/f.u.
# Uncorrected formation energy   186 meV per atom
# Total energy   -25.9 eV for the cell shown
# Distance to the lowest polymorph of the same formula   0.0626 eV/atom

---

# TaReNiGe2 (PBE, relaxed)
data_TaReNiGe2
_space_group_name_H-M_alt 'P 4/m m m'
_space_group_IT_number 123
_space_group_name_Hall '-P 4 2'
_cell_length_a 4.692
_cell_length_b 4.692
_cell_length_c 5.015
_cell_angle_alpha 90.00
_cell_angle_beta 90.00
_cell_angle_gamma 90.00
loop_
_atom_site_label
_atom_site_fract_x
_atom_site_fract_y
_atom_site_fract_z
_atom_site_occupancy
Ta1 0.000 0.000 0.000 1
Re1 0.000 0.000 0.500 1
Ni1 0.500 0.500 0.000 1
Ge1 0.000 0.500 0.500 1
# ΔE_f   1.103 eV per atom
# Fermi-level density of states   3.48 states/eV/f.u.
# Total energy   -33.8 eV for the cell shown

---

# HgMo3 (PBE, relaxed)
data_HgMo3
_space_group_name_H-M_alt 'P m -3 m'
_space_group_IT_number 221
_space_group_name_Hall '-P 4 2 3'
_cell_length_a 5.408
_cell_length_b 5.408
_cell_length_c 5.408
_cell_angle_alpha 90.00
_cell_angle_beta 90.00
_cell_angle_gamma 90.00
loop_
_atom_site_label
_atom_site_fract_x
_atom_site_fract_y
_atom_site_fract_z
_atom_site_occupancy
Hg1 0.000 0.000 0.000 1
Mo1 0.000 0.000 0.500 1
# ΔE_f   3.466 eV per atom
# Fermi-level density of states   6.44 states/eV/f.u.
# Total energy   -18.9 eV for the cell shown
# Distance to the lowest polymorph of the same formula   3.1468 eV/atom

---

# YAgS2 (PBE, relaxed)
data_YAgS2
_space_group_name_H-M_alt 'P 1 21/m 1'
_space_group_IT_number 11
_cell_length_a 6.652
_cell_length_b 4.019
_cell_length_c 6.973
_cell_angle_alpha 90.00
_cell_angle_beta 111.63
_cell_angle_gamma 90.00
loop_
_space_group_symop_operation_xyz
'x,y,z'
'-x,-y,-z'
'-x,y+1/2,-z'
'x,-y+1/2,z'
loop_
_atom_site_label
_atom_site_fract_x
_atom_site_fract_y
_atom_site_fract_z
_atom_site_occupancy
Y1 0.011 0.250 0.254 1
Ag1 0.471 0.750 0.244 1
S1 0.237 0.250 0.994 1
S2 0.244 0.750 0.509 1
# Fermi-level density of states   0.00 states/eV/f.u.
# Uncorrected formation energy   -1283 meV per atom
# Total energy   -45.4 eV for the cell shown

---

# PmHo3Tc (PBE, relaxed)
data_PmHo3Tc
_space_group_name_H-M_alt 'P 1 21/m 1'
_space_group_IT_number 11
_cell_length_a 8.640
_cell_length_b 3.779
_cell_length_c 8.727
_cell_angle_alpha 90.00
_cell_angle_beta 101.96
_cell_angle_gamma 90.00
loop_
_space_group_symop_operation_xyz
'x,y,z'
'-x,-y,-z'
'-x,y+1/2,-z'
'x,-y+1/2,z'
loop_
_atom_site_label
_atom_site_fract_x
_atom_site_fract_y
_atom_site_fract_z
_atom_site_occupancy
Pm1 0.170 0.250 0.012 1
Ho1 0.026 0.750 0.664 1
Ho2 0.342 0.750 0.389 1
Ho3 0.423 0.750 0.817 1
Tc1 0.263 0.250 0.599 1
# ΔE_f   -0.066 eV per atom
# Fermi-level density of states   5.05 states/eV/f.u.
# Total energy   -58.4 eV for the cell shown
# Distance to the lowest polymorph of the same formula   0.0000 eV/atom

---

# ZnTe2N2 (PBE, relaxed)
data_ZnTe2N2
_space_group_name_H-M_alt 'P 4/m m m'
_space_group_IT_number 123
_space_group_name_Hall '-P 4 2'
_cell_length_a 5.637
_cell_length_b 5.637
_cell_length_c 3.568
_cell_angle_alpha 90.00
_cell_angle_beta 90.00
_cell_angle_gamma 90.00
loop_
_atom_site_label
_atom_site_fract_x
_atom_site_fract_y
_atom_site_fract_z
_atom_site_occupancy
Zn1 0.000 0.000 0.000 1
Te1 0.000 0.500 0.000 1
N1 0.000 0.000 0.500 1
N2 0.500 0.500 0.500 1
# Fermi-level density of states   4.26 states/eV/f.u.
# Uncorrected formation energy   1817 meV per atom
# Total energy   -15.1 eV for the cell shown
# Distance to the lowest polymorph of the same formula   0.5703 eV/atom

---

# PRuW2 (PBE, relaxed)
data_PRuW2
_space_group_name_H-M_alt 'R 3 m'
_space_group_IT_number 160
_space_group_name_Hall 'R 3 -2"'
_cell_length_a 2.8470
_cell_length_b 2.8470
_cell_length_c 25.2660
_cell_angle_alpha 90.00
_cell_angle_beta 90.00
_cell_angle_gamma 120.00
loop_
_atom_site_label
_atom_site_fract_x
_atom_site_fract_y
_atom_site_fract_z
_atom_site_occupancy
P1 0.0000 0.0000 0.0000 1
Ru1 0.0000 0.0000 0.2605 1
W1 0.0000 0.0000 0.5072 1
W2 0.0000 0.0000 0.7461 1
# ΔE_f   0.147 eV per atom
# Fermi-level density of states   4.73 states/eV/f.u.
# Total energy   -120.0 eV for the cell shown

---

# TaV2Ga2 (PBE, relaxed)
data_TaV2Ga2
_space_group_name_H-M_alt 'C 1 2/m 1'
_space_group_IT_number 12
_cell_length_a 9.082
_cell_length_b 3.403
_cell_length_c 6.630
_cell_angle_alpha 90.00
_cell_angle_beta 132.39
_cell_angle_gamma 90.00
loop_
_space_group_symop_operation_xyz
'x,y,z'
'-x,-y,-z'
'-x,y,-z'
'x,-y,z'
'x+1/2,y+1/2,z'
'-x+1/2,-y+1/2,-z'
'-x+1/2,y+1/2,-z'
'x+1/2,-y+1/2,z'
loop_
_atom_site_label
_atom_site_fract_x
_atom_site_fract_y
_atom_site_fract_z
_atom_site_occupancy
Ta1 0.000 0.000 0.000 1
V1 0.102 0.500 0.387 1
Ga1 0.185 0.000 0.773 1
# ΔE_f   -0.172 eV per atom
# Fermi-level density of states   3.15 states/eV/f.u.
# Total energy   -74.0 eV for the cell shown
# Distance to the lowest polymorph of the same formula   0.0119 eV/atom

---

# Eu2CdP (PBE, relaxed)
data_Eu2CdP
_space_group_name_H-M_alt 'P 4/m m m'
_space_group_IT_number 123
_space_group_name_Hall '-P 4 2'
_cell_length_a 3.769
_cell_length_b 3.769
_cell_length_c 7.446
_cell_angle_alpha 90.00
_cell_angle_beta 90.00
_cell_angle_gamma 90.00
loop_
_atom_site_label
_atom_site_fract_x
_atom_site_fract_y
_atom_site_fract_z
_atom_site_occupancy
Eu1 0.000 0.000 0.209 1
Cd1 0.500 0.500 0.500 1
P1 0.500 0.500 0.000 1
# ΔE_f   -0.726 eV per atom
# Fermi-level density of states   4.72 states/eV/f.u.
# Total energy   -29.8 eV for the cell shown
# Distance to the lowest polymorph of the same formula   0.0000 eV/atom

---

# NbTcRh2 (PBE, relaxed)
data_NbTcRh2
_space_group_name_H-M_alt 'I -4 2 d'
_space_group_IT_number 122
_space_group_name_Hall 'I -4 2bw'
_cell_length_a 7.000
_cell_length_b 7.000
_cell_length_c 5.391
_cell_angle_alpha 90.00
_cell_angle_beta 90.00
_cell_angle_gamma 90.00
loop_
_atom_site_label
_atom_site_fract_x
_atom_site_fract_y
_atom_site_fract_z
_atom_site_occupancy
Nb1 0.000 0.000 0.000 1
Tc1 0.000 0.000 0.500 1
Rh1 0.243 0.250 0.625 1
# ΔE_f   0.283 eV per atom
# Fermi-level density of states   5.07 states/eV/f.u.
# Total energy   -136.0 eV for the cell shown
# Distance to the lowest polymorph of the same formula   0.6215 eV/atom

---

# EuH2Ru (PBE, relaxed)
data_EuH2Ru
_space_group_name_H-M_alt 'P 4/m m m'
_space_group_IT_number 123
_space_group_name_Hall '-P 4 2'
_cell_length_a 2.883
_cell_length_b 2.883
_cell_length_c 5.532
_cell_angle_alpha 90.00
_cell_angle_beta 90.00
_cell_angle_gamma 90.00
loop_
_atom_site_label
_atom_site_fract_x
_atom_site_fract_y
_atom_site_fract_z
_atom_site_occupancy
Eu1 0.000 0.000 0.000 1
H1 0.500 0.500 0.338 1
Ru1 0.000 0.000 0.500 1
# Fermi-level density of states   2.58 states/eV/f.u.
# Total energy   -24.1 eV for the cell shown

---

# AcCdPbAu (PBE, relaxed)
data_AcCdPbAu
_space_group_name_H-M_alt 'F -4 3 m'
_space_group_IT_number 216
_space_group_name_Hall 'F -4 2 3'
_cell_length_a 7.635
_cell_length_b 7.635
_cell_length_c 7.635
_cell_angle_alpha 90.00
_cell_angle_beta 90.00
_cell_angle_gamma 90.00
loop_
_atom_site_label
_atom_site_fract_x
_atom_site_fract_y
_atom_site_fract_z
_atom_site_occupancy
Ac1 0.000 0.000 0.000 1
Cd1 0.250 0.250 0.250 1
Pb1 0.000 0.000 0.500 1
Au1 0.250 0.250 0.750 1
# ΔE_f   -0.433 eV per atom
# Fermi-level density of states   1.29 states/eV/f.u.
# Total energy   -55.0 eV for the cell shown

---

# Pr4Nd5Sm (PBE, relaxed)
data_Pr4Nd5Sm
_space_group_name_H-M_alt 'P 4/n m m'
_space_group_IT_number 129
_cell_length_a 10.863
_cell_length_b 10.863
_cell_length_c 5.995
_cell_angle_alpha 90.00
_cell_angle_beta 90.00
_cell_angle_gamma 90.00
loop_
_space_group_symop_operation_xyz
'x,y,z'
'-x,-y,-z'
'-y+1/2,x,z'
'y+1/2,-x,-z'
'-x+1/2,-y+1/2,z'
'x+1/2,y+1/2,-z'
'y,-x+1/2,z'
'-y,x+1/2,-z'
'x+1/2,-y,-z'
'-x+1/2,y,z'
'-y,-x,-z'
'y,x,z'
'-x,y+1/2,-z'
'x,-y+1/2,z'
'y+1/2,x+1/2,-z'
'-y+1/2,-x+1/2,z'
loop_
_atom_site_label
_atom_site_fract_x
_atom_site_fract_y
_atom_site_fract_z
_atom_site_occupancy
Pr1 0.045 0.750 0.132 1
Nd1 0.088 0.088 0.335 1
Nd2 0.250 0.750 0.500 1
Sm1 0.250 0.250 0.863 1
# ΔE_f   0.164 eV per atom
# Fermi-level density of states   13.16 states/eV/f.u.
# Total energy   -92.1 eV for the cell shown
# Distance to the lowest polymorph of the same formula   0.0324 eV/atom

---

# Pm2Ga9Rh3 (PBE, relaxed)
data_Pm2Ga9Rh3
_space_group_name_H-M_alt 'C 1 2/c 1'
_space_group_IT_number 15
_cell_length_a 13.240
_cell_length_b 7.608
_cell_length_c 10.596
_cell_angle_alpha 90.00
_cell_angle_beta 114.79
_cell_angle_gamma 90.00
loop_
_space_group_symop_operation_xyz
'x,y,z'
'-x,-y,-z'
'-x,y,-z+1/2'
'x,-y,z+1/2'
'x+1/2,y+1/2,z'
'-x+1/2,-y+1/2,-z'
'-x+1/2,y+1/2,-z+1/2'
'x+1/2,-y+1/2,z+1/2'
loop_
_atom_site_label
_atom_site_fract_x
_atom_site_fract_y
_atom_site_fract_z
_atom_site_occupancy
Pm1 0.169 0.083 0.250 1
Ga1 0.000 0.372 0.250 1
Ga2 0.058 0.084 0.923 1
Ga3 0.103 0.315 0.748 1
Ga4 0.103 0.416 0.062 1
Ga5 0.223 0.417 0.423 1
Rh1 0.085 0.244 0.501 1
Rh2 0.250 0.250 0.000 1
# ΔE_f   -0.722 eV per atom
# Fermi-level density of states   5.81 states/eV/f.u.
# Total energy   -275.6 eV for the cell shown

---

# LiPbW2 (PBE, relaxed)
data_LiPbW2
_space_group_name_H-M_alt 'P 1 2/m 1'
_space_group_IT_number 10
_cell_length_a 2.935
_cell_length_b 4.945
_cell_length_c 4.952
_cell_angle_alpha 90.00
_cell_angle_beta 93.85
_cell_angle_gamma 90.00
loop_
_space_group_symop_operation_xyz
'x,y,z'
'-x,-y,-z'
'-x,y,-z'
'x,-y,z'
loop_
_atom_site_label
_atom_site_fract_x
_atom_site_fract_y
_atom_site_fract_z
_atom_site_occupancy
Li1 0.000 0.000 0.000 1
Pb1 0.500 0.000 0.500 1
W1 0.279 0.500 0.774 1
# ΔE_f   0.688 eV per atom
# Fermi-level density of states   1.88 states/eV/f.u.
# Total energy   -28.8 eV for the cell shown

---

# Er4MgPd2 (PBE, relaxed)
data_Er4MgPd2
_space_group_name_H-M_alt 'R -3 m'
_space_group_IT_number 166
_space_group_name_Hall '-R 3 2"'
_cell_length_a 4.8457
_cell_length_b 4.8457
_cell_length_c 27.2625
_cell_angle_alpha 90.00
_cell_angle_beta 90.00
_cell_angle_gamma 120.00
loop_
_atom_site_label
_atom_site_fract_x
_atom_site_fract_y
_atom_site_fract_z
_atom_site_occupancy
Er1 0.0000 0.0000 0.1119 1
Er2 0.0000 0.0000 0.2959 1
Mg1 0.0000 0.0000 0.5000 1
Pd1 0.0000 0.0000 0.4019 1
# ΔE_f   -0.394 eV per atom
# Fermi-level density of states   6.48 states/eV/f.u.
# Total energy   -99.0 eV for the cell shown

---

# SrSn3Sb4 (PBE, relaxed)
data_SrSn3Sb4
_space_group_name_H-M_alt 'P n m a'
_space_group_IT_number 62
_cell_length_a 10.167
_cell_length_b 4.444
_cell_length_c 23.372
_cell_angle_alpha 90.00
_cell_angle_beta 90.00
_cell_angle_gamma 90.00
loop_
_space_group_symop_operation_xyz
'x,y,z'
'-x,-y,-z'
'-x+1/2,-y,z+1/2'
'x+1/2,y,-z+1/2'
'x+1/2,-y+1/2,-z+1/2'
'-x+1/2,y+1/2,z+1/2'
'-x,y+1/2,-z'
'x,-y+1/2,z'
loop_
_atom_site_label
_atom_site_fract_x
_atom_site_fract_y
_atom_site_fract_z
_atom_site_occupancy
Sr1 0.064 0.250 0.130 1
Sn1 0.043 0.750 0.350 1
Sn2 0.147 0.750 0.510 1
Sn3 0.222 0.750 0.752 1
Sb1 0.031 0.250 0.768 1
Sb2 0.071 0.250 0.971 1
Sb3 0.202 0.250 0.592 1
Sb4 0.213 0.250 0.376 1
# Fermi-level density of states   0.77 states/eV/f.u.
# Uncorrected formation energy   -281 meV per atom
# Total energy   -129.7 eV for the cell shown

---

# ReTeRu2 (PBE, relaxed)
data_ReTeRu2
_space_group_name_H-M_alt 'R 3 m'
_space_group_IT_number 160
_space_group_name_Hall 'R 3 -2"'
_cell_length_a 2.9505
_cell_length_b 2.9505
_cell_length_c 25.9650
_cell_angle_alpha 90.00
_cell_angle_beta 90.00
_cell_angle_gamma 120.00
loop_
_atom_site_label
_atom_site_fract_x
_atom_site_fract_y
_atom_site_fract_z
_atom_site_occupancy
Re1 0.0000 0.0000 0.0000 1
Te1 0.0000 0.0000 0.2426 1
Ru1 0.0000 0.0000 0.4950 1
Ru2 0.0000 0.0000 0.7446 1
# Fermi-level density of states   4.19 states/eV/f.u.
# Uncorrected formation energy   607 meV per atom
# Total energy   -95.1 eV for the cell shown